1.
Ac3AlPd12 | PBE | optimized geometry

Cell and atoms, written as POSCAR:
```
Ac3AlPd12
1.0
4.281 0.000 0.000
0.000 4.281 0.000
0.000 0.000 16.450
Al Pd Ac
1 12 3
direct
0.000 0.000 0.000
0.500 0.000 0.368
0.500 0.500 0.000
0.500 0.500 0.765
0.500 0.500 0.500
0.500 0.000 0.899
0.000 0.500 0.899
0.000 0.500 0.101
0.000 0.500 0.632
0.500 0.000 0.632
0.500 0.000 0.101
0.000 0.500 0.368
0.500 0.500 0.235
0.000 0.000 0.500
0.000 0.000 0.235
0.000 0.000 0.765
```

Properties
Mass density (g/cm³): 10.934
Density of states at the Fermi level (states/eV per atom): 0.65
ΔH_f (0 K) (eV per atom): -0.682

2.
Cs3GaBr4 | PBE | optimized geometry

Cell and atoms, written as POSCAR:
```
Cs3GaBr4
1.0
-0.368 -10.108 -0.786
8.566 0.168 -6.165
7.771 -1.120 10.767
Br Ga Cs
16 4 12
direct
0.719 0.504 0.987
0.263 0.235 0.750
0.970 0.615 0.750
0.281 0.496 0.487
0.281 0.496 0.013
0.719 0.504 0.513
0.470 0.885 0.750
0.737 0.765 0.250
0.237 0.735 0.250
0.781 0.004 0.487
0.219 0.996 0.987
0.219 0.996 0.513
0.763 0.265 0.750
0.030 0.385 0.250
0.781 0.004 0.013
0.530 0.115 0.250
0.714 0.522 0.750
0.214 0.978 0.750
0.286 0.478 0.250
0.786 0.022 0.250
0.504 0.218 0.543
0.996 0.718 0.043
0.682 0.429 0.250
0.182 0.071 0.250
0.818 0.929 0.750
0.004 0.282 0.543
0.504 0.218 0.957
0.004 0.282 0.957
0.496 0.782 0.457
0.318 0.571 0.750
0.996 0.718 0.457
0.496 0.782 0.043
```

Properties
Mass density (g/cm³): 3.668
Density of states at the Fermi level (states/eV per atom): 0.00
Formation energy (no corrections) (eV/atom): -1.4549
Energy relative to the lowest polymorph listed for this composition (eV/f.u.): 0.11

3.
CaTaHS2 | PBE | optimized geometry

Cell and atoms, written as POSCAR:
```
CaTaHS2
1.0
-4.685 0.693 0.932
-0.897 -2.087 -2.956
-0.028 -3.939 2.789
H Ca S Ta
1 1 2 1
direct
0.000 0.500 0.000
0.500 0.500 0.500
0.000 0.000 0.500
0.500 0.000 0.000
0.000 0.000 0.000
```

Properties
Mass density (g/cm³): 5.471
Density of states at the Fermi level (states/eV per atom): 0.43

4.
Na2MnBr6 | PBE | optimized geometry

Cell and atoms, written as POSCAR:
```
Na2MnBr6
1.0
-3.727 2.263 -5.488
-2.539 -6.821 -1.088
-7.592 1.831 6.236
Br Mn Na
12 2 4
direct
0.113 0.020 0.735
0.387 0.520 0.765
0.827 0.718 0.551
0.173 0.282 0.449
0.784 0.682 0.944
0.613 0.480 0.235
0.216 0.318 0.056
0.673 0.218 0.949
0.716 0.182 0.556
0.887 0.980 0.265
0.327 0.782 0.051
0.284 0.818 0.444
0.000 0.000 0.500
0.500 0.500 0.000
0.471 0.094 0.264
0.971 0.406 0.764
0.529 0.906 0.736
0.029 0.594 0.236
```

Properties
Mass density (g/cm³): 3.740
Formation energy (no corrections) (eV/atom): -0.9823
Energy relative to the lowest polymorph listed for this composition (eV/f.u.): 0.00

5.
Ba3Ga2Hg | PBE | optimized geometry

Cell and atoms, written as POSCAR:
```
Ba3Ga2Hg
1.0
-1.736 2.738 2.556
2.001 -1.703 3.184
9.589 7.808 -1.850
Ga Ba Hg
2 3 1
direct
0.500 0.500 0.839
0.500 0.500 0.161
0.000 0.000 0.676
0.000 0.000 0.324
0.000 0.000 0.000
0.500 0.500 0.500
```

Properties
Mass density (g/cm³): 5.860
Density of states at the Fermi level (states/eV per atom): 0.67
ΔH_f (0 K) (eV per atom): -0.379

6.
SrAlCd4 | PBE | optimized geometry

Cell and atoms, written as POSCAR:
```
SrAlCd4
1.0
4.430 0.000 -1.149
0.000 7.491 0.000
-0.020 0.000 9.036
Cd Sr Al
8 2 2
direct
0.500 0.000 0.000
0.677 0.555 0.353
0.323 0.445 0.647
0.323 0.055 0.647
0.500 0.500 0.000
0.070 0.750 0.140
0.930 0.250 0.860
0.677 0.945 0.353
0.123 0.250 0.247
0.877 0.750 0.753
0.232 0.750 0.464
0.768 0.250 0.536
```

Properties
Mass density (g/cm³): 6.252
Density of states at the Fermi level (states/eV per atom): 0.37
ΔH_f (0 K) (eV per atom): -0.176
Energy relative to the lowest polymorph listed for this composition (eV/f.u.): 0.00

7.
CaCu9Si4 | PBE | optimized geometry

Cell and atoms, written as POSCAR:
```
CaCu9Si4
1.0
-7.912 1.787 0.250
-1.801 -7.885 -0.660
4.926 2.549 5.986
Cu Si Ca
18 8 2
direct
0.935 0.797 0.000
0.192 0.692 0.633
0.808 0.308 0.367
0.065 0.203 0.000
0.500 0.000 0.000
0.441 0.941 0.633
0.000 0.500 0.000
0.692 0.441 0.633
0.797 0.065 0.000
0.308 0.559 0.367
0.059 0.808 0.367
0.435 0.703 0.000
0.941 0.192 0.633
0.565 0.297 0.000
0.703 0.565 0.000
0.297 0.435 0.000
0.203 0.935 0.000
0.559 0.059 0.367
0.059 0.559 0.766
0.793 0.941 0.234
0.707 0.207 0.766
0.941 0.441 0.234
0.207 0.059 0.766
0.441 0.293 0.234
0.293 0.793 0.234
0.559 0.707 0.766
0.250 0.250 0.500
0.750 0.750 0.500
```

Properties
Mass density (g/cm³): 6.296
Density of states at the Fermi level (states/eV per atom): 0.21
Formation energy (no corrections) (eV/atom): -0.2138

8.
LiCu2HSe | PBE | optimized geometry

Cell and atoms, written as POSCAR:
```
LiCu2HSe
1.0
3.708 0.000 0.000
0.000 3.708 0.000
0.000 0.000 4.332
Cu H Se Li
2 1 1 1
direct
0.500 0.000 0.000
0.000 0.500 0.000
0.000 0.000 0.000
0.500 0.500 0.500
0.000 0.000 0.500
```

Properties
Mass density (g/cm³): 5.967
Density of states at the Fermi level (states/eV per atom): 0.15

Uncorrected energy list, top to bottom, in eV per cell: -89.29, -95.67, -30.29, -61.37, -14.40, -20.29, -127.11, -18.05